Run one
{
  "formula": "Tb3Cd2Ga",
  "functional": "GGA-PBE",
  "state": "relaxed",
  "sg": "P4/mmm, No. 123",
  "dos_at_fermi_per_ev_atom": 1.0142,
  "m_tot_mub_per_atom": 0.023,
  "lattice": [[3.671, 0.000, 0.000], [0.000, 3.671, 0.000], [0.000, 0.000, 11.280]],
  "species": ["Tb", "Cd", "Tb", "Ga", "Cd", "Tb"],
  "fractional_positions": [[0.000, 0.000, 0.346], [0.500, 0.500, 0.170], [0.000, 0.000, 0.654], [0.500, 0.500, 0.500], [0.500, 0.500, 0.830], [0.000, 0.000, 0.000]]
}

=====

Run two
{
  "formula": "Tb3Cd2Ga",
  "functional": "GGA-PBE",
  "state": "relaxed",
  "sg": "P-3m1, No. 164",
  "dos_at_fermi_per_ev_atom": 1.3336,
  "m_tot_mub_per_atom": 0.000,
  "lattice": [[5.230, 0.000, 0.000], [-2.615, 4.530, 0.000], [0.000, 0.000, 6.431]],
  "species": ["Tb", "Cd", "Cd", "Tb", "Ga", "Tb"],
  "fractional_positions": [[0.667, 0.333, 0.848], [0.333, 0.667, 0.648], [0.667, 0.333, 0.352], [0.333, 0.667, 0.152], [0.000, 0.000, 0.000], [0.000, 0.000, 0.500]]
}

=====

The structure with the greatest stability is run one.

=====

Run one
{
  "formula": "TbTmCdGa",
  "functional": "GGA-PBE",
  "state": "relaxed",
  "sg": "P4mm, No. 99",
  "dos_at_fermi_per_ev_atom": 0.5695,
  "m_tot_mub_per_atom": 0.000,
  "lattice": [[3.610, 0.000, 0.000], [0.000, 3.610, 0.000], [0.000, 0.000, 7.401]],
  "species": ["Ga", "Cd", "Tm", "Tb"],
  "fractional_positions": [[0.500, 0.500, 0.600], [0.500, 0.500, 0.115], [0.000, 0.000, 0.372], [0.000, 0.000, 0.841]]
}

=====

Run two
{
  "formula": "TbTmCdGa",
  "functional": "GGA-PBE",
  "state": "relaxed",
  "sg": "F-43m, No. 216",
  "dos_at_fermi_per_ev_atom": 0.9200,
  "m_tot_mub_per_atom": 0.000,
  "lattice": [[-2.762, 3.968, 1.786], [-5.074, -0.518, 0.741], [-1.905, -0.134, 4.787]],
  "species": ["Ga", "Tm", "Tb", "Cd"],
  "fractional_positions": [[0.250, 0.250, 0.250], [0.000, 0.000, 0.000], [0.500, 0.500, 0.500], [0.750, 0.750, 0.750]]
}

=====

The structure with the greatest stability is run one.

=====

Run one
{
  "formula": "Cd3GaTc",
  "functional": "GGA-PBE",
  "state": "relaxed",
  "sg": "Pm-3m, No. 221",
  "dos_at_fermi_per_ev_atom": 0.8308,
  "m_tot_mub_per_atom": 0.684,
  "lattice": [[5.009, 0.000, 0.000], [0.000, 5.009, 0.000], [0.000, 0.000, 5.009]],
  "species": ["Cd", "Ga", "Cd", "Cd", "Tc"],
  "fractional_positions": [[0.000, 0.000, 0.500], [0.000, 0.000, 0.000], [0.500, 0.000, 0.000], [0.000, 0.500, 0.000], [0.500, 0.500, 0.500]]
}

=====

Run two
{
  "formula": "Cd3GaTc",
  "functional": "GGA-PBE",
  "state": "relaxed",
  "sg": "Pm-3m, No. 221",
  "dos_at_fermi_per_ev_atom": 0.9532,
  "m_tot_mub_per_atom": 0.246,
  "lattice": [[5.271, 0.000, 0.000], [0.000, 5.271, 0.000], [0.000, 0.000, 5.271]],
  "species": ["Cd", "Cd", "Ga", "Cd", "Tc"],
  "fractional_positions": [[0.000, 0.000, 0.500], [0.000, 0.500, 0.000], [0.500, 0.500, 0.500], [0.500, 0.000, 0.000], [0.000, 0.000, 0.000]]
}

=====

The structure with the greatest stability is run two.

=====

Run one
{
  "formula": "CdGaTc3",
  "functional": "GGA-PBE",
  "state": "relaxed",
  "sg": "Pm-3m, No. 221",
  "dos_at_fermi_per_ev_atom": 1.5483,
  "m_tot_mub_per_atom": 0.720,
  "lattice": [[4.594, 0.000, 0.000], [0.000, 4.594, 0.000], [0.000, 0.000, 4.594]],
  "species": ["Tc", "Ga", "Tc", "Tc", "Cd"],
  "fractional_positions": [[0.000, 0.000, 0.500], [0.000, 0.000, 0.000], [0.500, 0.000, 0.000], [0.000, 0.500, 0.000], [0.500, 0.500, 0.500]]
}

=====

Run two
{
  "formula": "CdGaTc3",
  "functional": "GGA-PBE",
  "state": "relaxed",
  "sg": "Pm-3m, No. 221",
  "dos_at_fermi_per_ev_atom": 2.5425,
  "m_tot_mub_per_atom": 1.601,
  "lattice": [[-0.519, -3.095, -3.858], [4.943, -0.464, -0.293], [-0.177, -3.865, 3.124]],
  "species": ["Tc", "Ga", "Tc", "Cd", "Tc"],
  "fractional_positions": [[0.500, 0.000, 0.000], [0.500, 0.500, 0.500], [0.000, 0.500, 0.000], [0.000, 0.000, 0.000], [0.000, 0.000, 0.500]]
}

=====

The structure with the greatest stability is run one.

=====

Run one
{
  "formula": "Cd2GaTe",
  "functional": "GGA-PBE",
  "state": "relaxed",
  "sg": "I-42d, No. 122",
  "dos_at_fermi_per_ev_atom": 0.4143,
  "m_tot_mub_per_atom": 0.000,
  "lattice": [[8.006, 0.000, 0.000], [0.000, 8.006, 0.000], [4.003, 4.003, 3.228]],
  "species": ["Ga", "Te", "Ga", "Cd", "Te", "Cd", "Cd", "Cd"],
  "fractional_positions": [[0.500, 0.500, 0.000], [0.750, 0.250, 0.500], [0.250, 0.750, 0.500], [0.875, 0.865, 0.750], [0.000, 0.000, 0.000], [0.375, 0.385, 0.750], [0.135, 0.625, 0.250], [0.615, 0.125, 0.250]]
}

=====

Run two
{
  "formula": "Cd2GaTe",
  "functional": "GGA-PBE",
  "state": "relaxed",
  "sg": "Fm-3m, No. 225",
  "dos_at_fermi_per_ev_atom": 0.7462,
  "m_tot_mub_per_atom": 0.000,
  "lattice": [[-5.049, 0.991, 1.099], [-2.462, 4.019, -2.339], [-3.711, -0.932, -3.612]],
  "species": ["Ga", "Cd", "Te", "Cd"],
  "fractional_positions": [[0.000, 0.000, 0.000], [0.250, 0.250, 0.250], [0.500, 0.500, 0.500], [0.750, 0.750, 0.750]]
}

=====

The structure with the greatest stability is run one.

=====

Run one
{
  "formula": "CdGa2Te2",
  "functional": "GGA-PBE",
  "state": "relaxed",
  "sg": "I4/mmm, No. 139",
  "dos_at_fermi_per_ev_atom": 0.3781,
  "m_tot_mub_per_atom": 0.000,
  "lattice": [[5.588, 0.000, 0.000], [0.000, 5.588, 0.000], [2.794, 2.794, 4.232]],
  "species": ["Ga", "Te", "Ga", "Cd", "Te"],
  "fractional_positions": [[0.653, 0.653, 0.695], [0.250, 0.750, 0.500], [0.347, 0.347, 0.305], [0.000, 0.000, 0.000], [0.750, 0.250, 0.500]]
}

=====

Run two
{
  "formula": "CdGa2Te2",
  "functional": "GGA-PBE",
  "state": "relaxed",
  "sg": "P4/mbm, No. 127",
  "dos_at_fermi_per_ev_atom": 0.3786,
  "m_tot_mub_per_atom": 0.000,
  "lattice": [[-5.808, -5.336, 2.023], [5.646, -4.952, 3.147], [-0.395, 1.729, 3.428]],
  "species": ["Te", "Te", "Ga", "Ga", "Ga", "Te", "Cd", "Te", "Ga", "Cd"],
  "fractional_positions": [[0.329, 0.171, 0.500], [0.671, 0.829, 0.500], [0.368, 0.868, 0.000], [0.868, 0.632, 0.000], [0.132, 0.368, 0.000], [0.171, 0.671, 0.500], [0.000, 0.000, 0.000], [0.829, 0.329, 0.500], [0.632, 0.132, 0.000], [0.500, 0.500, 0.000]]
}

=====

Run three
{
  "formula": "CdGa2Te2",
  "functional": "GGA-PBE",
  "state": "relaxed",
  "sg": "P4/mbm, No. 127",
  "dos_at_fermi_per_ev_atom": 0.4563,
  "m_tot_mub_per_atom": 0.000,
  "lattice": [[8.263, 0.000, 0.000], [0.000, 8.263, 0.000], [0.000, 0.000, 4.094]],
  "species": ["Ga", "Te", "Ga", "Ga", "Ga", "Te", "Cd", "Te", "Cd", "Te"],
  "fractional_positions": [[0.379, 0.121, 0.500], [0.688, 0.188, 0.000], [0.879, 0.379, 0.500], [0.121, 0.621, 0.500], [0.621, 0.879, 0.500], [0.188, 0.312, 0.000], [0.500, 0.500, 0.000], [0.812, 0.688, 0.000], [0.000, 0.000, 0.000], [0.312, 0.812, 0.000]]
}

=====

Run four
{
  "formula": "CdGa2Te2",
  "functional": "GGA-PBE",
  "state": "relaxed",
  "sg": "I4/mmm, No. 139",
  "dos_at_fermi_per_ev_atom": 0.3998,
  "m_tot_mub_per_atom": 0.000,
  "lattice": [[4.991, 0.000, 0.000], [0.000, 4.991, 0.000], [2.495, 2.495, 6.612]],
  "species": ["Te", "Te", "Cd", "Ga", "Ga"],
  "fractional_positions": [[0.649, 0.649, 0.702], [0.351, 0.351, 0.298], [0.000, 0.000, 0.000], [0.750, 0.250, 0.500], [0.250, 0.750, 0.500]]
}

=====

The structure with the greatest stability is run one.

=====

Run one
{
  "formula": "Cd2Ga2Te",
  "functional": "GGA-PBE",
  "state": "relaxed",
  "sg": "I4/mmm, No. 139",
  "dos_at_fermi_per_ev_atom": 0.2816,
  "m_tot_mub_per_atom": 0.000,
  "lattice": [[-2.781, 0.880, 3.334], [-2.703, -3.215, -1.406], [0.292, -5.303, 4.586]],
  "species": ["Cd", "Ga", "Ga", "Te", "Cd"],
  "fractional_positions": [[0.750, 0.250, 0.500], [0.402, 0.402, 0.197], [0.598, 0.598, 0.803], [0.000, 0.000, 0.000], [0.250, 0.750, 0.500]]
}

=====

Run two
{
  "formula": "Cd2Ga2Te",
  "functional": "GGA-PBE",
  "state": "relaxed",
  "sg": "P4/mbm, No. 127",
  "dos_at_fermi_per_ev_atom": 0.3163,
  "m_tot_mub_per_atom": 0.000,
  "lattice": [[-0.303, 5.407, 5.182], [-6.940, 1.746, -2.227], [-1.660, -2.883, 2.912]],
  "species": ["Ga", "Te", "Ga", "Cd", "Te", "Ga", "Cd", "Cd", "Ga", "Cd"],
  "fractional_positions": [[0.128, 0.372, 0.000], [0.500, 0.500, 0.000], [0.872, 0.628, 0.000], [0.674, 0.826, 0.500], [0.000, 0.000, 0.000], [0.372, 0.872, 0.000], [0.326, 0.174, 0.500], [0.174, 0.674, 0.500], [0.628, 0.128, 0.000], [0.826, 0.326, 0.500]]
}

=====

Run three
{
  "formula": "Cd2Ga2Te",
  "functional": "GGA-PBE",
  "state": "relaxed",
  "sg": "I4/mmm, No. 139",
  "dos_at_fermi_per_ev_atom": 0.5219,
  "m_tot_mub_per_atom": 0.000,
  "lattice": [[3.973, 0.000, 0.000], [0.000, 3.973, 0.000], [1.987, 1.987, 7.661]],
  "species": ["Ga", "Cd", "Cd", "Te", "Ga"],
  "fractional_positions": [[0.250, 0.750, 0.500], [0.601, 0.601, 0.799], [0.399, 0.399, 0.201], [0.000, 0.000, 0.000], [0.750, 0.250, 0.500]]
}

=====

The structure with the greatest stability is run three.

=====

Run one
{
  "formula": "Cd3GaTe4",
  "functional": "GGA-PBE",
  "state": "relaxed",
  "sg": "I-42m, No. 121",
  "dos_at_fermi_per_ev_atom": 0.3619,
  "m_tot_mub_per_atom": 0.000,
  "lattice": [[6.634, 0.000, 0.000], [0.000, 6.634, 0.000], [-3.317, -3.317, 6.581]],
  "species": ["Cd", "Cd", "Te", "Cd", "Te", "Ga", "Te", "Te"],
  "fractional_positions": [[0.750, 0.250, 0.500], [0.250, 0.750, 0.500], [0.124, 0.630, 0.754], [0.500, 0.500, 0.000], [0.876, 0.876, 0.246], [0.000, 0.000, 0.000], [0.370, 0.370, 0.246], [0.630, 0.124, 0.754]]
}

=====

Run two
{
  "formula": "Cd3GaTe4",
  "functional": "GGA-PBE",
  "state": "relaxed",
  "sg": "P-43m, No. 215",
  "dos_at_fermi_per_ev_atom": 0.2899,
  "m_tot_mub_per_atom": 0.000,
  "lattice": [[6.612, 0.000, 0.000], [0.000, 6.612, 0.000], [0.000, 0.000, 6.612]],
  "species": ["Te", "Te", "Cd", "Te", "Cd", "Te", "Ga", "Cd"],
  "fractional_positions": [[0.247, 0.753, 0.753], [0.753, 0.753, 0.247], [0.500, 0.500, 0.000], [0.247, 0.247, 0.247], [0.000, 0.500, 0.500], [0.753, 0.247, 0.753], [0.000, 0.000, 0.000], [0.500, 0.000, 0.500]]
}

=====

The structure with the greatest stability is run two.

=====

Run one
{
  "formula": "ThCd2Ga",
  "functional": "GGA-PBE",
  "state": "relaxed",
  "sg": "P4/mmm, No. 123",
  "dos_at_fermi_per_ev_atom": 0.5297,
  "m_tot_mub_per_atom": 0.000,
  "lattice": [[4.920, 0.000, 0.000], [0.000, 4.463, 0.000], [0.000, 0.000, 4.463]],
  "species": ["Th", "Ga", "Cd", "Cd"],
  "fractional_positions": [[0.500, 0.000, 0.000], [0.500, 0.500, 0.500], [0.000, 0.000, 0.500], [0.000, 0.500, 0.000]]
}

=====

Run two
{
  "formula": "ThCd2Ga",
  "functional": "GGA-PBE",
  "state": "relaxed",
  "sg": "R-3m, No. 166",
  "dos_at_fermi_per_ev_atom": 0.5434,
  "m_tot_mub_per_atom": 0.000,
  "lattice": [[3.271, 0.000, 0.000], [1.635, 2.832, 0.000], [1.635, 0.944, 11.273]],
  "species": ["Cd", "Ga", "Th", "Cd"],
  "fractional_positions": [[0.097, 0.097, 0.709], [0.500, 0.500, 0.500], [0.000, 0.000, 0.000], [0.903, 0.903, 0.291]]
}

=====

The structure with the greatest stability is run one.

=====

Run one
{
  "formula": "Ti2Cd2Ga",
  "functional": "GGA-PBE",
  "state": "relaxed",
  "sg": "P4/mbm, No. 127",
  "dos_at_fermi_per_ev_atom": 0.4841,
  "m_tot_mub_per_atom": 0.000,
  "lattice": [[7.576, 0.000, 0.000], [0.000, 7.576, 0.000], [0.000, 0.000, 3.355]],
  "species": ["Cd", "Ga", "Cd", "Ti", "Ti", "Ga", "Ti", "Cd", "Cd", "Ti"],
  "fractional_positions": [[0.871, 0.629, 0.000], [0.500, 0.500, 0.000], [0.371, 0.871, 0.000], [0.328, 0.172, 0.500], [0.828, 0.328, 0.500], [0.000, 0.000, 0.000], [0.672, 0.828, 0.500], [0.629, 0.129, 0.000], [0.129, 0.371, 0.000], [0.172, 0.672, 0.500]]
}

=====

Run two
{
  "formula": "Ti2Cd2Ga",
  "functional": "GGA-PBE",
  "state": "relaxed",
  "sg": "P4/mbm, No. 127",
  "dos_at_fermi_per_ev_atom": 0.9226,
  "m_tot_mub_per_atom": 0.299,
  "lattice": [[6.753, 0.000, 0.000], [0.000, 6.753, 0.000], [0.000, 0.000, 4.407]],
  "species": ["Ti", "Ga", "Cd", "Ti", "Cd", "Cd", "Cd", "Ga", "Ti", "Ti"],
  "fractional_positions": [[0.360, 0.860, 0.000], [0.000, 0.000, 0.000], [0.340, 0.160, 0.500], [0.640, 0.140, 0.000], [0.160, 0.660, 0.500], [0.840, 0.340, 0.500], [0.660, 0.840, 0.500], [0.500, 0.500, 0.000], [0.140, 0.360, 0.000], [0.860, 0.640, 0.000]]
}

=====

The structure with the greatest stability is run two.